(1)
A relaxed MnZn6Rh crystal. Source: Alexandria via LeMat-Bulk, functional PBE.

Geometry as extended XYZ:
```
8
Lattice="4.375 0.000 0.000 0.000 5.443 -0.176 0.000 -2.568 4.802" Properties=species:S:1:pos:R:3 pbc="T T T"
Mn 0.000 -1.900 4.387
Zn 0.000 -0.620 1.984
Zn 0.000 0.822 4.303
Zn 0.000 2.108 1.896
Zn 2.187 2.032 0.316
Zn 2.187 3.491 2.664
Zn 2.187 4.795 0.226
Rh 2.187 0.769 2.729
```

Computed properties:
The value obtained for the polymorph energy (0 for the lowest one) is 0.0 kJ/mol of formula units. The calculated total energy is -3.170 eV/atom.


(2)
A relaxed Mg3TiGe crystal. Source: Alexandria via LeMat-Bulk, functional PBE.

Geometry as extended XYZ:
```
5
Lattice="-1.775 -1.265 4.464 -3.786 -2.368 -2.177 2.682 -4.180 -0.118" Properties=species:S:1:pos:R:3 pbc="T T T"
Ge 0.000 0.000 0.000
Mg -1.893 -1.184 -1.088
Mg 1.341 -2.090 -0.059
Mg -0.888 -0.632 2.232
Ti -1.440 -3.906 1.085
```

Computed properties:
The value obtained for the polymorph energy (0 for the lowest one) is 0.0 kJ/mol of formula units. The calculated total energy is -2.855 eV/atom.


(3)
A relaxed TbCr2Si2 crystal. Source: Alexandria via LeMat-Bulk, functional PBE.

Geometry as extended XYZ:
```
5
Lattice="4.206 -2.124 3.733 -0.344 -0.153 6.000 -3.067 -1.337 -4.995" Properties=species:S:1:pos:R:3 pbc="T T T"
Tb 0.000 0.000 0.000
Cr -0.740 -1.314 2.936
Cr 1.535 -2.300 1.803
Si 2.378 -1.402 5.993
Si 1.484 -0.875 3.740
```

Computed properties:
The calculation puts the formation energy from raw total energies at -0.43 eV/atom. The calculated total energy is -7.378 eV/atom.


(4)
A relaxed Tb2NdY crystal. Source: Alexandria via LeMat-Bulk, functional PBE.

Geometry as extended XYZ:
```
4
Lattice="-3.191 -0.787 -1.517 -2.831 -0.865 2.084 -5.029 10.648 0.732" Properties=species:S:1:pos:R:3 pbc="T T T"
Tb -4.264 7.813 0.595
Tb -2.774 2.291 0.327
Nd -4.016 -1.095 0.378
Y -5.522 4.485 0.649
```

Computed properties:
The value obtained for the polymorph energy (0 for the lowest one) is 0.0 kJ/mol of formula units. The calculated total energy is -5.117 eV/atom.


Which of these has the lowest calculated total energy? TbCr2Si2


What is the calculated total energy in the first record? -3.170 eV/atom